# 1
The following is a DFT calculation (PBE) of an optimized crystal structure of Cd3Re.

abc: 2.8785 4.9059 5.3551
angles: 90.00 90.00 90.00
Element x y z (fractional)
Re: 0.0000 0.5000 0.3265
Cd: 0.0000 0.0000 0.0199
Cd: 0.5000 0.0000 0.4936
Cd: 0.5000 0.5000 0.8267

Summary:
Symmetry: Pmm2
Formation enthalpy at 0 K in eV per formula unit: 2.13
Energy in eV/atom: -3.27

***

# 2
The following is a DFT calculation (PBE) of an optimized crystal structure of CdRe.

abc: 8.4919 8.4919 8.4919
angles: 90.00 90.00 90.00
Element x y z (fractional)
Re: 0.3984 0.3984 0.3984
Re: 0.3984 0.6016 0.6016
Re: 0.1016 0.1016 0.8984
Re: 0.1016 0.8984 0.1016
Re: 0.8984 0.1016 0.1016
Re: 0.8984 0.8984 0.8984
Re: 0.6016 0.3984 0.6016
Re: 0.6016 0.6016 0.3984
Cd: 0.7887 0.7887 0.2112
Cd: 0.2888 0.7113 0.2888
Cd: 0.7113 0.7113 0.7113
Cd: 0.2112 0.2112 0.2112
Cd: 0.7887 0.2112 0.7887
Cd: 0.7113 0.2888 0.2888
Cd: 0.2888 0.2888 0.7113
Cd: 0.2112 0.7887 0.7887

Summary:
Symmetry: I-43m
Formation enthalpy at 0 K in eV per formula unit: 3.28
Energy in eV/atom: -5.04

***

# 3
The following is a DFT calculation (PBE) of an optimized crystal structure of CdRe.

abc: 2.8667 2.8667 10.0816
angles: 81.83 98.17 120.00
Element x y z (fractional)
Cd: 0.0060 0.9940 0.0181
Cd: 0.2440 0.7560 0.7319
Re: 0.4924 0.5076 0.4771
Re: 0.7576 0.2424 0.2729

Summary:
Symmetry: R-3m
Formation enthalpy at 0 K in eV per formula unit: 0.49
Energy in eV/atom: -6.44

***

# 4
The following is a DFT calculation (PBE) of an optimized crystal structure of CdRe.

abc: 4.7288 2.6791 19.3195
angles: 90.00 90.00 90.00
Site moments in Bohr magnetons follow the coordinates.
Element x y z (fractional)
Cd: 0.0000 0.9298 0.3682  0.00
Cd: 0.5000 0.0702 0.1318  0.00
Cd: 0.0000 0.0702 0.0000  0.00
Cd: 0.5000 0.0702 0.8682  0.00
Cd: 0.5000 0.9298 0.5000  0.00
Cd: 0.0000 0.9298 0.6318  0.00
Re: 0.5000 0.5704 0.0000  0.34
Re: 0.0000 0.3503 0.7680  -0.01
Re: 0.0000 0.4296 0.5000  0.34
Re: 0.5000 0.6497 0.2680  -0.01
Re: 0.0000 0.3503 0.2320  -0.01
Re: 0.5000 0.6497 0.7320  -0.01

Summary:
Symmetry: Pmmn
Formation enthalpy at 0 K in eV per formula unit: 1.66
Energy in eV/atom: -5.85

***

# 5
The following is a DFT calculation (PBE) of an optimized crystal structure of CdRe4.

abc: 4.6772 4.6772 4.6772
angles: 90.00 90.00 90.00
Site moments in Bohr magnetons follow the coordinates.
Element x y z (fractional)
Re: 0.0000 0.5000 0.5000  -0.32
Re: 0.5000 0.0000 0.5000  -0.32
Re: 0.0000 0.0000 0.0000  1.06
Re: 0.5000 0.5000 0.0000  -0.32
Cd: 0.5000 0.5000 0.5000  -0.01

Summary:
Symmetry: Pm-3m
Formation enthalpy at 0 K in eV per formula unit: 17.31
Energy in eV/atom: -6.68

***

# 6
The following is a DFT calculation (PBE) of an optimized crystal structure of CdRe.

abc: 4.6163 8.6923 5.2155
angles: 90.00 90.00 90.00
Element x y z (fractional)
Cd: 0.5000 0.1729 0.8338
Cd: 0.0000 0.0000 0.9987
Cd: 0.0000 0.5000 0.4987
Cd: 0.5000 0.6729 0.3338
Cd: 0.5000 0.8271 0.8338
Cd: 0.5000 0.3271 0.3338
Re: 0.0000 0.3538 0.9873
Re: 0.0000 0.8538 0.4873
Re: 0.0000 0.1462 0.4873
Re: 0.5000 0.0000 0.3612
Re: 0.5000 0.5000 0.8612
Re: 0.0000 0.6462 0.9873

Summary:
Symmetry: Amm2
Formation enthalpy at 0 K in eV per formula unit: 1.25
Energy in eV/atom: -6.06

***

# 7
The following is a DFT calculation (PBE) of an optimized crystal structure of Cd2Re.

abc: 5.3776 5.3776 5.3776
angles: 60.00 60.00 60.00
Site moments in Bohr magnetons follow the coordinates.
Element x y z (fractional)
Cd: 0.1250 0.1250 0.1250  -0.01
Cd: 0.1250 0.6250 0.1250  -0.01
Cd: 0.6250 0.1250 0.1250  -0.01
Cd: 0.1250 0.1250 0.6250  -0.01
Re: 0.5000 0.5000 0.5000  0.59
Re: 0.7500 0.7500 0.7500  0.59

Summary:
Symmetry: Fd-3m
Formation enthalpy at 0 K in eV per formula unit: 3.23
Energy in eV/atom: -3.68

***

# 8
The following is a DFT calculation (PBE) of an optimized crystal structure of Cd3Re.

abc: 2.8611 5.2457 5.3245
angles: 99.00 90.00 105.83
Element x y z (fractional)
Re: 0.7500 0.5000 0.2500
Cd: 0.4936 0.9871 0.4869
Cd: 0.0064 0.0129 0.0131
Cd: 0.2500 0.5000 0.7500

Summary:
Symmetry: C2/m
Formation enthalpy at 0 K in eV per formula unit: 2.12
Energy in eV/atom: -3.27

***

# 9
The following is a DFT calculation (PBE) of an optimized crystal structure of CdRe2.

abc: 5.5213 5.5213 6.8013
angles: 72.96 72.96 29.95
Element x y z (fractional)
Re: 0.6180 0.6180 0.2750
Re: 0.9652 0.9652 0.6102
Re: 0.2671 0.2671 0.9163
Re: 0.6613 0.6613 0.6736
Cd: 0.3336 0.3336 0.3494
Cd: 0.9881 0.9881 0.0088

Summary:
Symmetry: Cm
Formation enthalpy at 0 K in eV per formula unit: 1.75
Energy in eV/atom: -8.02

***

# 10
The following is a DFT calculation (PBE) of an optimized crystal structure of Cd3Re.

abc: 5.9622 5.9622 9.8174
angles: 90.00 90.00 60.00
Site moments in Bohr magnetons follow the coordinates.
Element x y z (fractional)
Cd: 0.8380 0.3241 0.7500  -0.01
Cd: 0.0000 0.5000 0.0000  -0.01
Cd: 0.5000 0.0000 0.5000  -0.01
Cd: 0.0000 0.5000 0.5000  -0.01
Cd: 0.1620 0.1620 0.2500  -0.01
Cd: 0.5000 0.0000 0.0000  -0.01
Cd: 0.3241 0.8380 0.7500  -0.01
Cd: 0.5000 0.5000 0.0000  -0.01
Cd: 0.1620 0.6759 0.2500  -0.01
Cd: 0.8380 0.8380 0.7500  -0.01
Cd: 0.5000 0.5000 0.5000  -0.01
Cd: 0.6759 0.1620 0.2500  -0.01
Re: 0.6667 0.6667 0.2500  0.82
Re: 0.3333 0.3333 0.7500  0.82
Re: 0.0000 0.0000 0.5000  1.01
Re: 0.0000 0.0000 0.0000  1.01

Summary:
Symmetry: P6_3/mmc
Formation enthalpy at 0 K in eV per formula unit: 2.38
Energy in eV/atom: -3.20

***

# 11
The following is a DFT calculation (PBE) of an optimized crystal structure of CdRe2.

abc: 5.2995 5.2995 5.2995
angles: 60.00 60.00 60.00
Element x y z (fractional)
Re: 0.1250 0.6250 0.1250
Re: 0.1250 0.1250 0.6250
Re: 0.6250 0.1250 0.1250
Re: 0.1250 0.1250 0.1250
Cd: 0.5000 0.5000 0.5000
Cd: 0.7500 0.7500 0.7500

Summary:
Symmetry: Fd-3m
Formation enthalpy at 0 K in eV per formula unit: 1.87
Energy in eV/atom: -7.98

***

# 12
The following is a DFT calculation (PBE) of an optimized crystal structure of Cd2Re.

abc: 5.2030 5.2030 5.2030
angles: 149.43 129.19 60.47
Element x y z (fractional)
Re: 0.3333 0.3333 0.0000
Cd: 0.6696 0.6696 0.0000
Cd: 0.9970 0.9970 0.0000

Summary:
Symmetry: Immm
Formation enthalpy at 0 K in eV per formula unit: 2.17
Energy in eV/atom: -4.03

***

# 13
The following is a DFT calculation (PBE) of an optimized crystal structure of CdRe2.

abc: 6.2909 6.2909 6.2909
angles: 90.00 90.00 90.00
Element x y z (fractional)
Re: 0.6035 0.8965 0.1035
Re: 0.8965 0.3965 0.1035
Re: 0.6035 0.6035 0.6035
Re: 0.1035 0.6035 0.8965
Re: 0.3965 0.3965 0.3965
Re: 0.1035 0.8965 0.3965
Re: 0.3965 0.1035 0.8965
Re: 0.8965 0.1035 0.6035
Cd: 0.0000 0.5000 0.5000
Cd: 0.5000 0.5000 0.0000
Cd: 0.5000 0.0000 0.5000
Cd: 0.0000 0.0000 0.0000

Summary:
Symmetry: Pa-3
Formation enthalpy at 0 K in eV per formula unit: 6.03
Energy in eV/atom: -6.59